A relaxed Zr2ReMo crystal. Source: Alexandria, functional GGA-PBEsol.

Calculated values
Energy of formation: -0.1444 eV/atom
Total magnetization: 0.0 μB/cell
Theoretical density: 10.87 g/cm3
Calculated volume: 17.75 Å³/atom

CIF file:
```
data_Zr2ReMo
_symmetry_space_group_name_H-M 'I m m 2'
_symmetry_Int_Tables_number 44
_symmetry_space_group_name_Hall 'I 2 -2'
_cell_length_a 3.248
_cell_length_b 4.584
_cell_length_c 9.537
_cell_angle_alpha 90.00
_cell_angle_beta 90.00
_cell_angle_gamma 90.00
loop_
_atom_site_label
_atom_site_type_symbol
_atom_site_fract_x
_atom_site_fract_y
_atom_site_fract_z
Zr1 Zr 0.000 0.000 0.000
Zr2 Zr 0.000 0.500 0.232
Re1 Re 0.000 0.500 0.752
Mo1 Mo 0.000 0.000 0.474
```

---

A relaxed Zr2ReMo crystal. Source: Alexandria, functional GGA-PBEsol.

Calculated values
Energy of formation: 0.2390 eV/atom
Total magnetization: 0.0 μB/cell
Theoretical density: 10.59 g/cm3
Calculated volume: 18.21 Å³/atom

CIF file:
```
data_Zr2ReMo
_symmetry_space_group_name_H-M 'R 3 m'
_symmetry_Int_Tables_number 160
_symmetry_space_group_name_Hall 'R 3 -2"'
_cell_length_a 3.0203
_cell_length_b 3.0203
_cell_length_c 27.6534
_cell_angle_alpha 90.00
_cell_angle_beta 90.00
_cell_angle_gamma 120.00
loop_
_atom_site_label
_atom_site_type_symbol
_atom_site_fract_x
_atom_site_fract_y
_atom_site_fract_z
Zr1 Zr 0.0000 0.0000 0.0000
Zr2 Zr 0.0000 0.0000 0.2386
Re1 Re 0.0000 0.0000 0.4883
Mo1 Mo 0.0000 0.0000 0.7522
```

---

Question: calculated volume of number 1 (Zr2ReMo)?
Answer: 17.75 Å³/atom

---

Question: Which value of calculated volume does entry 2 give?
Answer: 18.21 Å³/atom